VASP calculation (GGA+U) on crystalline Ba2FeO at its relaxed geometry.

Structure (extended XYZ):
```
16
Lattice="7.744 0.000 0.000 0.000 7.744 0.000 0.000 0.000 9.800" Properties=species:S:1:pos:R:3 pbc="T T T"
Ba 1.120 5.808 1.225
Ba 1.936 1.120 8.575
Ba 1.936 2.752 3.675
Ba 2.752 5.808 6.125
Ba 4.992 1.936 6.125
Ba 5.808 4.992 3.675
Ba 5.808 6.624 8.575
Ba 6.624 1.936 1.225
Fe 0.000 0.000 4.900
Fe 0.000 3.872 7.350
Fe 3.872 0.000 2.450
Fe 3.872 3.872 0.000
O 0.000 0.000 0.000
O 0.000 3.872 2.450
O 3.872 0.000 7.350
O 3.872 3.872 4.900
```

Total energy, eV per atom: -4.332
Crystal system: tetragonal